Compound: La5PrDyTm2
Source: the Alexandria database
Functional: PBE
Structure: optimized geometry

a b c (Å): 5.5069 11.1707 10.7265
angles (deg): 90.00 90.00 104.27
Fractional positions:
1 La 0.3777 0.7554 0.0079
2 La 0.7207 0.4413 0.8186
3 La 0.5003 0.0006 0.7576
4 La 0.2802 0.5605 0.6995
5 La 0.9999 0.9999 0.5078
6 La 0.6223 0.2446 0.5079
7 La 0.2793 0.5587 0.3186
8 La 0.4997 0.9994 0.2576
9 La 0.7198 0.4395 0.1995
10 La 0.0001 0.0001 0.0078
11 Pr 0.7846 0.5691 0.5089
12 Pr 0.2154 0.4309 0.0089
13 Dy 0.5997 0.1993 0.0080
14 Dy 0.4003 0.8007 0.5080
15 Tm 0.8880 0.7760 0.7549
16 Tm 0.1128 0.2255 0.7607
17 Tm 0.1120 0.2240 0.2549
18 Tm 0.8872 0.7745 0.2607

Output
The space group is Cmc2_1, No. 36. The formation energy comes out at 128 meV per atom. The calculation puts the total magnetization at 0.00 μB per cell. As for the density of states at the Fermi level: 26.76 states/eV per cell. As for the volume: 319.75 Å³/f.u.